[1]
Compound: ScTaIr2
Source: the Alexandria database
Functional: PBE-GGA
Structure: optimized geometry

a b c (Å): 4.7142 4.7142 4.7142
angles (deg): 126.10 126.08 79.74
With the nearest neighbours (Å) after each atom.
Fractional coordinates of all 4 atoms:
Ir: 0.0000 0.0000 0.0000  4 Ta 2.80, 4 Sc 2.80, 4 Ir 3.02
Ir: 0.5000 0.5000 0.0000  4 Ta 2.80, 4 Sc 2.80, 4 Ir 3.02
Sc: 0.7500 0.2500 0.5000  8 Ir 2.80, 4 Ta 3.02
Ta: 0.2500 0.7500 0.5000  8 Ir 2.80, 4 Sc 3.02

formation energy from the elements = -694.8 meV/atom
space group = I4/mmm
V = 16.52 Å³ per atom

[2]
Compound: Tl2HgCl
Source: the Alexandria database
Functional: PBE-GGA
Structure: optimized geometry

a b c (Å): 3.6918 3.6918 9.2200
angles (deg): 90.00 90.00 105.55
With the nearest neighbours (Å) after each atom.
Fractional coordinates of all 4 atoms:
Tl: 0.0000 0.0000 0.0159  2 Cl 3.11, 2 Hg 3.32
Tl: 0.0000 0.0000 0.4841  2 Cl 3.11, 2 Hg 3.32
Hg: 0.5000 0.5000 0.7500  4 Tl 3.32, 4 Hg 3.69
Cl: 0.5000 0.5000 0.2500  4 Tl 3.11

ΔE to the lowest computed polymorph = 74 meV/atom
space group = Cmmm
V = 30.27 Å³ per atom
uncorrected formation energy = -36 kJ per mole of atoms

[3]
Compound: Tb3PrSm6Ho2
Source: the Alexandria database
Functional: PBE-GGA
Structure: optimized geometry

a b c (Å): 6.2380 6.2380 11.9260
angles (deg): 94.99 94.99 119.97
With the nearest neighbours (Å) after each atom.
Fractional coordinates of all 12 atoms:
Tb: 0.1670 0.8330 0.5000  6 Sm 3.58-3.59, 6 Tb 3.60-3.61
Tb: 0.8330 0.1670 0.5000  6 Sm 3.58-3.59, 6 Tb 3.60-3.61
Tb: 0.5000 0.5000 0.5000  6 Sm 3.59, 6 Tb 3.60
Pr: 0.0000 0.0000 0.0000  6 Ho 3.60, 6 Sm 3.61
Sm: 0.9159 0.5815 0.7491  3 Tb 3.58-3.59, 6 Sm 3.60-3.61, 2 Ho 3.60-3.61, 1 Pr 3.61
Sm: 0.7497 0.7497 0.2509  3 Tb 3.59, 6 Sm 3.60-3.61, 2 Ho 3.61, 1 Pr 3.61
Sm: 0.0841 0.4185 0.2509  3 Tb 3.58-3.59, 6 Sm 3.60-3.61, 2 Ho 3.60-3.61, 1 Pr 3.61
Sm: 0.5815 0.9159 0.7491  3 Tb 3.58-3.59, 6 Sm 3.60-3.61, 2 Ho 3.60-3.61, 1 Pr 3.61
Sm: 0.2503 0.2503 0.7491  3 Tb 3.59, 6 Sm 3.60-3.61, 2 Ho 3.61, 1 Pr 3.61
Sm: 0.4185 0.0841 0.2509  3 Tb 3.58-3.59, 6 Sm 3.60-3.61, 2 Ho 3.60-3.61, 1 Pr 3.61
Ho: 0.3334 0.6666 0.0000  3 Ho 3.60, 3 Pr 3.60, 6 Sm 3.60-3.61
Ho: 0.6666 0.3334 0.0000  3 Ho 3.60, 3 Pr 3.60, 6 Sm 3.60-3.61

formation energy from the elements = 14.5 meV/atom
space group = C2/m
V = 32.99 Å³ per atom

[4]
Compound: Cs2NaCu2I7
Source: the Alexandria database
Functional: PBE-GGA
Structure: optimized geometry

a b c (Å): 5.6819 5.6819 15.1551
angles (deg): 79.15 79.15 90.00
With the nearest neighbours (Å) after each atom.
Fractional coordinates of all 12 atoms:
Cs: 0.8248 0.8248 0.3522  9 I 3.94-4.04
Cs: 0.1752 0.1752 0.6478  9 I 3.94-4.04
Na: 0.0000 0.0000 0.0000  12 I 3.72-4.02
Cu: 0.5965 0.5965 0.8103  6 I 2.70-2.87
Cu: 0.4035 0.4035 0.1897  6 I 2.70-2.87
I: 0.5000 0.5000 0.0000  2 Cu 2.77
I: 0.3130 0.3130 0.3748  1 Cu 2.70
I: 0.6870 0.6870 0.6252  1 Cu 2.70
I: 0.9177 0.4184 0.1651  2 Cu 2.85-2.87
I: 0.4184 0.9177 0.1651  2 Cu 2.85-2.87
I: 0.5816 0.0823 0.8349  2 Cu 2.85-2.87
I: 0.0823 0.5816 0.8349  2 Cu 2.85-2.87

space group = C2/m
V = 39.30 Å³ per atom
uncorrected formation energy = -67 kJ per mole of atoms

[5]
Compound: Mg2FeSi2Ir5
Source: the Alexandria database
Functional: PBE-GGA
Structure: optimized geometry

a b c (Å): 3.3421 9.4765 9.4765
angles (deg): 90.00 90.00 90.00
With the nearest neighbours (Å) after each atom.
Fractional coordinates of all 20 atoms:
Mg: 0.0000 0.6714 0.1714  3 Si 2.66-2.88, 6 Ir 2.84-2.97
Mg: 0.0000 0.3286 0.8286  3 Si 2.66-2.88, 6 Ir 2.84-2.97
Mg: 0.0000 0.1714 0.3286  3 Si 2.66-2.88, 6 Ir 2.84-2.97
Mg: 0.0000 0.8286 0.6714  3 Si 2.66-2.88, 6 Ir 2.84-2.97
Fe: 0.0000 0.0000 0.0000  8 Ir 2.63
Fe: 0.0000 0.5000 0.5000  8 Ir 2.63
Si: 0.0000 0.1299 0.6299  6 Ir 2.37-2.41
Si: 0.0000 0.8701 0.3701  6 Ir 2.37-2.41
Si: 0.0000 0.6299 0.8701  6 Ir 2.37-2.41
Si: 0.0000 0.3701 0.1299  6 Ir 2.37-2.41
Ir: 0.5000 0.2020 0.0715  2 Si 2.37, 2 Fe 2.63
Ir: 0.5000 0.7980 0.9285  2 Si 2.37, 2 Fe 2.63
Ir: 0.5000 0.0715 0.7980  2 Si 2.37, 2 Fe 2.63
Ir: 0.5000 0.7020 0.4285  2 Si 2.37, 2 Fe 2.63
Ir: 0.5000 0.9285 0.2020  2 Si 2.37, 2 Fe 2.63
Ir: 0.5000 0.2980 0.5715  2 Si 2.37, 2 Fe 2.63
Ir: 0.5000 0.5715 0.7020  2 Si 2.37, 2 Fe 2.63
Ir: 0.5000 0.4285 0.2980  2 Si 2.37, 2 Fe 2.63
Ir: 0.5000 0.5000 0.0000  4 Si 2.41
Ir: 0.5000 0.0000 0.5000  4 Si 2.41

space group = P4/mbm
V = 15.01 Å³ per atom
uncorrected formation energy = -42 kJ per mole of atoms

[6]
Compound: SmY3P4
Source: the Alexandria database
Functional: PBE-GGA
Structure: optimized geometry

a b c (Å): 4.0398 6.9925 6.9925
angles (deg): 109.47 90.00 90.00
With the nearest neighbours (Å) after each atom.
Fractional coordinates of all 8 atoms:
Sm: 0.5000 0.0000 0.0000  6 P 2.87-2.88
Y: 0.0000 0.0000 0.5000  6 P 2.85-2.86
Y: 0.5000 0.5000 0.5000  6 P 2.83
Y: 0.0000 0.5000 0.0000  6 P 2.85-2.86
P: 0.0000 0.2537 0.2537  4 Y 2.83-2.85, 2 Sm 2.88
P: 0.5000 0.7482 0.2518  5 Y 2.83-2.86, 1 Sm 2.87
P: 0.0000 0.7463 0.7463  4 Y 2.83-2.85, 2 Sm 2.88
P: 0.5000 0.2518 0.7482  5 Y 2.83-2.86, 1 Sm 2.87

formation energy from the elements = -1612.2 meV/atom
space group = Cmmm
V = 23.28 Å³ per atom

[7]
Compound: Sr5Li
Source: the Alexandria database
Functional: PBE-GGA
Structure: optimized geometry

a b c (Å): 4.4030 7.6543 10.3595
angles (deg): 63.50 77.73 73.28
With the nearest neighbours (Å) after each atom.
Fractional coordinates of all 6 atoms:
Sr: 0.6411 0.5762 0.1416  2 Li 3.59
Sr: 0.0000 0.5000 0.5000  10 Sr 4.08-4.40
Sr: 0.3589 0.4238 0.8584  2 Li 3.59
Sr: 0.3296 0.0348 0.3061  2 Li 3.89, 8 Sr 4.21-4.34
Sr: 0.6704 0.9652 0.6939  2 Li 3.89, 8 Sr 4.21-4.34
Li: 0.0000 0.0000 0.0000  8 Sr 3.59-3.89

formation energy from the elements = 23.9 meV/atom
ΔE to the lowest computed polymorph = 0 meV/atom
space group = C2/m
V = 49.63 Å³ per atom

[8]
Compound: PrSnSe
Source: the Alexandria database
Functional: PBE-GGA
Structure: optimized geometry

a b c (Å): 4.1944 4.1944 9.9903
angles (deg): 102.12 102.12 90.00
With the nearest neighbours (Å) after each atom.
Fractional coordinates of all 6 atoms:
Pr: 0.3482 0.3482 0.6964  5 Se 3.04-3.07
Pr: 0.6518 0.6518 0.3036  5 Se 3.04-3.07
Sn: 0.0000 0.5000 0.0000  4 Sn 2.97
Sn: 0.5000 0.0000 0.0000  4 Sn 2.97
Se: 0.1871 0.1871 0.3742  5 Pr 3.04-3.07
Se: 0.8129 0.8129 0.6258  5 Pr 3.04-3.07

space group = I4/mmm
V = 27.97 Å³ per atom
uncorrected formation energy = -120 kJ per mole of atoms

[9]
Compound: Li2SiPt
Source: the Alexandria database
Functional: PBE-GGA
Structure: optimized geometry

a b c (Å): 2.6797 2.6797 8.4801
angles (deg): 90.00 90.00 109.86
With the nearest neighbours (Å) after each atom.
Fractional coordinates of all 4 atoms:
Li: 0.0000 0.0000 0.0049  2 Pt 2.59, 2 Si 2.65, 4 Li 2.68
Li: 0.0000 0.0000 0.4951  2 Pt 2.59, 2 Si 2.65, 4 Li 2.68
Pt: 0.5000 0.5000 0.2500  4 Li 2.59, 4 Pt 2.68
Si: 0.5000 0.5000 0.7500  4 Li 2.65, 4 Si 2.68

space group = Cmmm
V = 14.32 Å³ per atom
uncorrected formation energy = -28 kJ per mole of atoms

[10]
Compound: CsRbHgS2
Source: the Alexandria database
Functional: PBE-GGA
Structure: optimized geometry

a b c (Å): 5.5905 9.8940 9.5820
angles (deg): 121.08 90.00 90.00
With the nearest neighbours (Å) after each atom.
Fractional coordinates of all 10 atoms:
Cs: 0.2456 0.7500 0.5000  4 S 3.54-3.60
Cs: 0.7544 0.2500 0.5000  4 S 3.54-3.60
Rb: 0.5000 0.7500 0.0000  4 S 3.41, 4 Hg 3.73
Rb: 0.5000 0.2500 0.0000  4 S 3.41, 4 Hg 3.73
Hg: 0.0000 0.0000 0.0000  2 S 2.34
Hg: 0.0000 0.5000 0.0000  2 S 2.34
S: 0.7526 0.8853 0.7707  1 Hg 2.34
S: 0.7526 0.6147 0.2293  1 Hg 2.34
S: 0.2474 0.3853 0.7707  1 Hg 2.34
S: 0.2474 0.1147 0.2293  1 Hg 2.34

space group = Cmme
V = 45.39 Å³ per atom
uncorrected formation energy = -77 kJ per mole of atoms

[11]
Compound: BaNaF
Source: the Alexandria database
Functional: PBE-GGA
Structure: optimized geometry

a b c (Å): 4.5560 4.5560 9.9925
angles (deg): 90.00 90.00 90.00
With the nearest neighbours (Å) after each atom.
Fractional coordinates of all 6 atoms:
F: 0.0000 0.0000 0.0000  4 Ba 2.69
F: 0.5000 0.5000 0.0000  4 Ba 2.69
Na: 0.0000 0.5000 0.4238  4 Na 3.56
Na: 0.5000 0.0000 0.5762  4 Na 3.56
Ba: 0.0000 0.5000 0.8560  4 F 2.69
Ba: 0.5000 0.0000 0.1440  4 F 2.69

ΔE to the lowest computed polymorph = 0 meV/atom
space group = P4/nmm
V = 34.57 Å³ per atom
uncorrected formation energy = -183 kJ per mole of atoms

[12]
Compound: HgTe4Au2
Source: the Alexandria database
Functional: PBE-GGA
Structure: optimized geometry

a b c (Å): 7.7430 7.7433 9.4153
angles (deg): 114.26 114.27 90.05
With the nearest neighbours (Å) after each atom.
Fractional coordinates of all 14 atoms:
Hg: 0.2498 0.7499 0.5000  4 Te 2.97
Hg: 0.0002 0.0002 0.0000  4 Te 2.97
Te: 0.8820 0.1425 0.2846  2 Au 2.69-2.70, 1 Hg 2.97
Te: 0.3680 0.6075 0.2154  2 Au 2.69-2.70, 1 Hg 2.97
Te: 0.8579 0.5973 0.7153  2 Au 2.69, 1 Hg 2.97
Te: 0.8574 0.1179 0.7152  2 Au 2.69, 1 Hg 2.97
Te: 0.4028 0.1422 0.2848  2 Au 2.69, 1 Hg 2.97
Te: 0.3921 0.1527 0.7847  2 Au 2.69, 1 Hg 2.97
Te: 0.3926 0.6321 0.7848  2 Au 2.69, 1 Hg 2.97
Te: 0.8473 0.6078 0.2152  2 Au 2.69, 1 Hg 2.97
Au: 0.6250 0.3750 0.7500  4 Te 2.69
Au: 0.6250 0.8750 0.2500  4 Te 2.69-2.70
Au: 0.6250 0.3750 0.2500  4 Te 2.69
Au: 0.1250 0.3750 0.7500  4 Te 2.69

space group = Fddd
V = 32.81 Å³ per atom
uncorrected formation energy = -4 kJ per mole of atoms

[13]
Compound: Na2TmHf2Te6
Source: the Alexandria database
Functional: PBE-GGA
Structure: optimized geometry

a b c (Å): 7.1910 7.1910 8.1347
angles (deg): 98.29 98.29 120.23
With the nearest neighbours (Å) after each atom.
Fractional coordinates of all 11 atoms:
Na: 0.8391 0.1609 0.0000  6 Te 3.21-3.24
Na: 0.1609 0.8391 0.0000  6 Te 3.21-3.24
Tm: 0.0000 0.0000 0.5000  6 Te 3.03-3.04
Hf: 0.3318 0.6682 0.5000  6 Te 2.92-2.93
Hf: 0.6682 0.3318 0.5000  6 Te 2.92-2.93
Te: 0.7236 0.7236 0.7221  2 Hf 2.92, 1 Tm 3.04, 2 Na 3.24
Te: 0.0751 0.4185 0.7241  2 Hf 2.92-2.93, 1 Tm 3.03, 2 Na 3.21-3.24
Te: 0.2764 0.2764 0.2779  2 Hf 2.92, 1 Tm 3.04, 2 Na 3.24
Te: 0.4185 0.0751 0.7241  2 Hf 2.92-2.93, 1 Tm 3.03, 2 Na 3.21-3.24
Te: 0.9249 0.5815 0.2759  2 Hf 2.92-2.93, 1 Tm 3.03, 2 Na 3.21-3.24
Te: 0.5815 0.9249 0.2759  2 Hf 2.92-2.93, 1 Tm 3.03, 2 Na 3.21-3.24

space group = C2/m
V = 31.62 Å³ per atom
uncorrected formation energy = -95 kJ per mole of atoms

[14]
Compound: CaFe2Se
Source: the Alexandria database
Functional: PBE-GGA
Structure: optimized geometry

a b c (Å): 5.2327 5.2327 5.2327
angles (deg): 142.58 121.80 71.26
With the nearest neighbours (Å) after each atom.
Fractional coordinates of all 4 atoms:
Ca: 0.2572 0.7572 0.5000  4 Se 2.99-3.10, 8 Fe 3.01-3.14
Fe: 0.9457 0.9457 0.0000  2 Fe 2.37
Fe: 0.7489 0.2489 0.5000  2 Fe 2.37, 2 Se 2.39
Se: 0.5482 0.5482 0.0000  2 Fe 2.39

ΔE to the lowest computed polymorph = 322 meV/atom
space group = Imm2
V = 18.17 Å³ per atom
uncorrected formation energy = 10 kJ per mole of atoms

[15]
Compound: Zr2NiIr
Source: the Alexandria database
Functional: PBE-GGA
Structure: optimized geometry

a b c (Å): 3.4825 3.4825 5.9750
angles (deg): 90.00 90.00 90.00
With the nearest neighbours (Å) after each atom.
Fractional coordinates of all 4 atoms:
Ir: 0.0000 0.0000 0.4886  5 Zr 2.72-2.73, 4 Ni 2.98
Ni: 0.5000 0.5000 0.7703  5 Zr 2.68-2.84, 4 Ir 2.98
Zr: 0.0000 0.0000 0.9456  4 Ni 2.68, 1 Ir 2.73
Zr: 0.5000 0.5000 0.2955  4 Ir 2.72, 1 Ni 2.84

formation energy from the elements = -359.9 meV/atom
space group = P4mm
V = 18.12 Å³ per atom

[16]
Compound: BaSrSi2
Source: the Alexandria database
Functional: PBE-GGA
Structure: optimized geometry

a b c (Å): 4.1766 4.1753 8.1152
angles (deg): 59.19 90.00 90.00
With the nearest neighbours (Å) after each atom.
Fractional coordinates of all 4 atoms:
Ba: 0.5000 0.7500 0.7500  2 Sr 3.49, 8 Si 3.73-3.74
Si: 0.0000 0.9202 0.0789  1 Si 2.38
Si: 0.0000 0.5798 0.4211  1 Si 2.38
Sr: 0.5000 0.2500 0.2500  8 Si 3.18, 2 Ba 3.49

ΔE to the lowest computed polymorph = 210 meV/atom
space group = P2/m
V = 30.39 Å³ per atom
uncorrected formation energy = -22 kJ per mole of atoms

[17]
Compound: PmGdSb
Source: the Alexandria database
Functional: PBE-GGA
Structure: optimized geometry

a b c (Å): 4.0846 4.0846 5.9667
angles (deg): 110.02 110.02 90.00
With the nearest neighbours (Å) after each atom.
Fractional coordinates of all 3 atoms:
Sb: 0.6144 0.6144 0.2287  5 Gd 3.29-3.65, 5 Pm 3.32-3.58
Gd: 0.9641 0.9641 0.9282  5 Pm 3.21-3.52, 4 Sb 3.29
Pm: 0.2715 0.2715 0.5431  5 Gd 3.21-3.52, 5 Sb 3.32-3.58

ΔE to the lowest computed polymorph = 0 meV/atom
space group = I4mm
V = 29.04 Å³ per atom
uncorrected formation energy = -67 kJ per mole of atoms

[18]
Compound: Ce2PuGeN5
Source: the Alexandria database
Functional: PBE-GGA
Structure: optimized geometry

a b c (Å): 3.4112 7.3013 10.3078
angles (deg): 90.00 90.00 103.51
With the nearest neighbours (Å) after each atom.
Fractional coordinates of all 18 atoms:
Ce: 0.8623 0.7246 0.8171  6 N 2.46-2.62
Ce: 0.1109 0.2219 0.6810  6 N 2.46-2.67
Ce: 0.1377 0.2754 0.3171  6 N 2.46-2.62
Ce: 0.8891 0.7781 0.1810  6 N 2.46-2.67
Pu: 0.7997 0.5994 0.5227  6 N 2.17-2.37
Pu: 0.2003 0.4006 0.0227  6 N 2.17-2.37
Ge: 0.5370 0.0741 0.9404  4 N 1.83-2.02
Ge: 0.4630 0.9259 0.4404  4 N 1.83-2.02
N: 0.3527 0.7054 0.0095  1 Pu 2.17
N: 0.6713 0.3426 0.8758  1 Ge 2.02
N: 0.4841 0.9683 0.7781  1 Ge 1.83
N: 0.2842 0.5684 0.6672  2 Pu 2.28, 1 Ce 2.46
N: 0.9665 0.9330 0.5322  2 Ge 1.95
N: 0.6473 0.2946 0.5095  1 Pu 2.17
N: 0.3287 0.6574 0.3758  1 Ge 2.02
N: 0.5159 0.0317 0.2781  1 Ge 1.83
N: 0.7158 0.4316 0.1672  2 Pu 2.28, 1 Ce 2.46
N: 0.0335 0.0670 0.0322  2 Ge 1.95

space group = Cmc2_1
V = 13.87 Å³ per atom
uncorrected formation energy = -88 kJ per mole of atoms

[19]
Compound: PH2Cl
Source: the Alexandria database
Functional: PBE-GGA
Structure: optimized geometry

a b c (Å): 3.8626 3.8626 3.8626
angles (deg): 60.00 60.00 60.00
With the nearest neighbours (Å) after each atom.
Fractional coordinates of all 4 atoms:
P: 0.0000 0.0000 0.0000  8 H 2.37
H: 0.2500 0.2500 0.2500  4 Cl 2.37, 4 P 2.37
H: 0.7500 0.7500 0.7500  4 Cl 2.37, 4 P 2.37
Cl: 0.5000 0.5000 0.5000  8 H 2.37

ΔE to the lowest computed polymorph = 1572 meV/atom
space group = Fm-3m
V = 10.19 Å³ per atom

[20]
Compound: LiGaSe
Source: the Alexandria database
Functional: PBE-GGA
Structure: optimized geometry

a b c (Å): 4.4911 14.1635 4.8323
angles (deg): 90.00 121.46 90.00
With the nearest neighbours (Å) after each atom.
Fractional coordinates of all 12 atoms:
Li: 0.0856 0.3183 0.1113  4 Se 2.63-2.90, 1 Ga 2.94
Li: 0.0856 0.6817 0.1113  4 Se 2.63-2.90, 1 Ga 2.94
Li: 0.0856 0.8183 0.6113  4 Se 2.63-2.90, 1 Ga 2.94
Li: 0.0856 0.1817 0.6113  4 Se 2.63-2.90, 1 Ga 2.94
Ga: 0.1678 0.0000 0.3650  2 Ga 2.44-2.51, 2 Se 2.58
Ga: 0.1678 0.5000 0.8650  2 Ga 2.44-2.51, 2 Se 2.58
Ga: 0.5395 0.0000 0.9726  2 Ga 2.44-2.51, 2 Se 2.66
Ga: 0.5395 0.5000 0.4726  2 Ga 2.44-2.51, 2 Se 2.66
Se: 0.4119 0.8530 0.2366  2 Ga 2.58-2.66, 3 Li 2.63-2.73
Se: 0.4119 0.1470 0.2366  2 Ga 2.58-2.66, 3 Li 2.63-2.73
Se: 0.4119 0.3530 0.7366  2 Ga 2.58-2.66, 3 Li 2.63-2.73
Se: 0.4119 0.6470 0.7366  2 Ga 2.58-2.66, 3 Li 2.63-2.73

ΔE to the lowest computed polymorph = 59 meV/atom
space group = Cm
V = 21.85 Å³ per atom
uncorrected formation energy = -69 kJ per mole of atoms